An optimized crystal structure of Cs8Rb3Pt2, computed with PBE.

Results
Crystal system = monoclinic
Calculated volume = 990.0 Å³/cell
E_form = 0.00 eV/atom
Total magnetization = 0.000 Bohr magnetons per cell

a = 5.5234 Å, b = 13.0346 Å, c = 13.7659 Å
α = 87.34°, β = 90.00°, γ = 90.00°
With the nearest neighbours (Å) after each atom.
Element x y z (fractional)
Cs 0.0000 0.3149 0.4923  2 Pt 3.54
Cs 0.0000 0.6851 0.5077  2 Pt 3.54
Cs 0.0000 0.8715 0.2557  2 Pt 3.43
Cs 0.0000 0.1285 0.7443  2 Pt 3.43
Cs 0.5000 0.9109 0.6249  2 Pt 3.46-3.59
Cs 0.5000 0.4008 0.7559  1 Pt 3.56
Cs 0.5000 0.5992 0.2441  1 Pt 3.56
Cs 0.5000 0.0891 0.3751  2 Pt 3.46-3.59
Rb 0.5000 0.0000 0.0000  4 Cs 4.72, 4 Rb 5.08
Rb 0.0000 0.3075 0.0935  5 Rb 5.08-5.53, 8 Cs 5.21-5.50
Rb 0.0000 0.6925 0.9065  5 Rb 5.08-5.53, 8 Cs 5.21-5.50
Pt 0.5000 0.8133 0.3956  7 Cs 3.43-3.59
Pt 0.5000 0.1867 0.6044  7 Cs 3.43-3.59